1.
{"formula": "KRbHg2", "functional": "PBE", "state": "optimized geometry", "space_group": "Immm", "total_magnetization_mub_per_fu": 0.0, "delta_e_f_ev_per_fu": 0.31, "e_above_lowest_polymorph_mev_per_atom": 317, "cell": [[7.295, -2.286, 2.984], [-2.760, 7.129, -2.984], [0.510, -5.023, 6.470]], "species": ["K", "Rb", "Hg", "Hg"], "fractional_positions": [[0.000, 0.000, 0.000], [0.500, 0.000, 0.500], [0.244, 0.000, 0.244], [0.756, 0.000, 0.756]]}

***

2.
{"formula": "K2Rb6Hg", "functional": "PBE", "state": "optimized geometry", "space_group": "C2/m", "total_magnetization_mub_per_fu": 0.0, "delta_e_f_ev_per_fu": 0.06, "e_above_lowest_polymorph_mev_per_atom": 46, "cell": [[-3.013, -3.541, 1.751], [-4.063, -2.385, -11.815], [11.729, -4.627, 3.747]], "species": ["K", "K", "Rb", "Rb", "Rb", "Rb", "Rb", "Rb", "Hg"], "fractional_positions": [[0.594, 0.635, 0.270], [0.406, 0.365, 0.730], [0.160, 0.338, 0.338], [0.840, 0.000, 0.662], [0.840, 0.662, 0.662], [0.500, 0.219, 0.000], [0.160, 0.000, 0.338], [0.500, 0.781, 0.000], [0.000, 0.000, 0.000]]}

***

3.
{"formula": "K2RbHg2", "functional": "PBE", "state": "optimized geometry", "space_group": "C2/m", "total_magnetization_mub_per_fu": 0.0, "delta_e_f_ev_per_fu": -0.92, "e_above_lowest_polymorph_mev_per_atom": 10, "cell": [[-4.494, 1.273, 2.395], [-3.486, -4.224, -4.297], [3.842, -4.755, 3.985]], "species": ["K", "K", "Rb", "Hg", "Hg"], "fractional_positions": [[0.348, 0.422, 0.695], [0.652, 0.578, 0.305], [0.000, 0.000, 0.000], [0.724, 0.099, 0.449], [0.276, 0.901, 0.551]]}

***

4.
{"formula": "K3Rb12Hg", "functional": "PBE", "state": "optimized geometry", "space_group": "P4/mmm", "total_magnetization_mub_per_fu": 0.0, "delta_e_f_ev_per_fu": -0.09, "cell": [[6.885, 0.000, 0.000], [0.000, 6.885, 0.000], [0.000, 0.000, 26.959]], "species": ["K", "K", "K", "Rb", "Rb", "Rb", "Rb", "Rb", "Rb", "Rb", "Rb", "Rb", "Rb", "Rb", "Rb", "Hg"], "fractional_positions": [[0.000, 0.000, 0.238], [0.000, 0.000, 0.500], [0.000, 0.000, 0.762], [0.500, 0.500, 0.000], [0.500, 0.500, 0.237], [0.500, 0.500, 0.500], [0.500, 0.500, 0.763], [0.500, 0.000, 0.104], [0.500, 0.000, 0.369], [0.500, 0.000, 0.631], [0.500, 0.000, 0.896], [0.000, 0.500, 0.104], [0.000, 0.500, 0.369], [0.000, 0.500, 0.631], [0.000, 0.500, 0.896], [0.000, 0.000, 0.000]]}

***

5.
{"formula": "KRb2Hg6", "functional": "PBE", "state": "optimized geometry", "space_group": "Immm", "total_magnetization_mub_per_fu": 0.0, "delta_e_f_ev_per_fu": -1.98, "e_above_lowest_polymorph_mev_per_atom": 33, "cell": [[4.038, 0.000, 0.000], [2.019, 9.821, 1.484], [2.019, 4.242, 8.981]], "species": ["K", "Rb", "Rb", "Hg", "Hg", "Hg", "Hg", "Hg", "Hg"], "fractional_positions": [[0.500, 0.500, 0.500], [0.347, 0.153, 0.153], [0.653, 0.847, 0.847], [0.160, 0.507, 0.174], [0.840, 0.493, 0.826], [0.840, 0.826, 0.493], [0.000, 0.173, 0.827], [0.000, 0.827, 0.173], [0.160, 0.174, 0.507]]}

***

6.
{"formula": "K2Rb2Hg", "functional": "PBE", "state": "optimized geometry", "space_group": "P4/mbm", "total_magnetization_mub_per_fu": 0.0, "delta_e_f_ev_per_fu": -0.18, "e_above_lowest_polymorph_mev_per_atom": 60, "cell": [[-8.818, -3.334, -0.325], [1.562, -4.902, 7.906], [-2.355, 5.831, 4.081]], "species": ["K", "K", "K", "K", "Hg", "Hg", "Rb", "Rb", "Rb", "Rb"], "fractional_positions": [[0.342, 0.842, 0.000], [0.842, 0.658, 0.000], [0.658, 0.158, 0.000], [0.158, 0.342, 0.000], [0.000, 0.000, 0.000], [0.500, 0.500, 0.000], [0.179, 0.679, 0.500], [0.679, 0.821, 0.500], [0.821, 0.321, 0.500], [0.321, 0.179, 0.500]]}

***

no.,mass density (Mg/m³),Fermi-level density of states (states/eV/f.u.)
1,3.962,2.97
2,1.851,7.87
3,3.865,2.95
4,1.745,12.39
5,7.096,4.83
6,2.239,3.42